1.
! GGA-PBE CaBPd4, relaxed; values from VASP
&SYSTEM
  ibrav = 0, nat = 12, ntyp = 3
/
ATOMIC_SPECIES
Ca 40.08 Ca.upf
B 10.81 B.upf
Pd 106.42 Pd.upf
CELL_PARAMETERS angstrom
2.221 -7.410 0.000
2.221 7.410 0.000
0.000 0.000 5.895
ATOMIC_POSITIONS angstrom
Ca 2.221 5.870 4.421
Ca 2.221 -5.870 1.474
B 2.221 1.555 4.421
B 2.221 -1.555 1.474
Pd 2.221 5.752 1.474
Pd 2.221 2.957 2.964
Pd 2.221 2.957 5.879
Pd 2.221 0.000 0.000
Pd 2.221 0.000 2.948
Pd 2.221 -2.957 0.016
Pd 2.221 -2.957 2.931
Pd 2.221 -5.752 4.421
! space group: Cmcm, No. 63
! crystal system: orthorhombic
! energy of formation: -499 meV/atom

=====

2.
! GGA-PBE FeAgBr2, relaxed; values from VASP
&SYSTEM
  ibrav = 0, nat = 16, ntyp = 3
/
ATOMIC_SPECIES
Fe 55.84 Fe.upf
Ag 107.87 Ag.upf
Br 79.90 Br.upf
CELL_PARAMETERS angstrom
6.127 0.000 0.000
0.000 6.127 0.000
0.000 0.000 11.800
ATOMIC_POSITIONS angstrom
Fe 0.000 0.000 0.000
Fe 0.000 3.063 2.950
Fe 3.063 0.000 8.850
Fe 3.063 3.063 5.900
Ag 0.000 0.000 5.900
Ag 0.000 3.063 8.850
Ag 3.063 0.000 2.950
Ag 3.063 3.063 0.000
Br 1.291 1.532 1.475
Br 1.532 4.355 4.425
Br 1.532 4.836 10.325
Br 1.772 1.532 7.375
Br 4.355 4.595 7.375
Br 4.595 1.291 10.325
Br 4.595 1.772 4.425
Br 4.836 4.595 1.475
! ΔE_f (raw): 0.04 eV/atom
! space group: I-42d, No. 122
! polymorph energy (0 for the lowest one): 70.0 meV per atom
! crystal system: tetragonal

=====

Taking the records one at a time from the top gives DOS at the Fermi energy values of 4.5, 8.2 states/eV/cell.
Taking the records one at a time from the top gives total energy values of -5.407, -3.622 eV per atom.